Entry 1
The following is a PBE calculation of a geometry-optimized Ti2VTe6 structure, from Alexandria.

It has space group P2_1/c (No. 14), with a = 6.8011 Å, b = 7.0782 Å, c = 11.2630 Å, α = 90.00°, β = 124.32° and γ = 90.00°. The asymmetric unit holds Ti at (0.2197, 0.1474, 0.2536), V at (0.0000, 0.0000, 0.5000), Te at (0.0807, 0.1629, 0.9207), Te at (0.2743, 0.6724, 0.9259) and Te at (0.4184, 0.0149, 0.7582).



Entry 2
The following is a PBE calculation of a geometry-optimized Ti2VTe6 structure, from Alexandria.

It has space group C2/m (No. 12), with a = 15.2719 Å, b = 3.7208 Å, c = 9.4964 Å, α = 90.00°, β = 112.35° and γ = 90.00°. The asymmetric unit holds Ti at (0.1638, 0.0000, 0.3282), V at (0.0000, 0.5000, 0.0000), Te at (0.0250, 0.5000, 0.3028), Te at (0.1371, 0.0000, 0.0255) and Te at (0.1947, 0.0000, 0.6384).



Stability check: which of them is least stable? entry 1.



Entry 1
The following is a PBE calculation of a geometry-optimized TiV2Te6 structure, from Alexandria.

It has space group C2/m (No. 12), with a = 14.8097 Å, b = 3.6645 Å, c = 11.1777 Å, α = 90.00°, β = 122.83° and γ = 90.00°. The asymmetric unit holds Ti at (0.0000, 0.0000, 0.0000), V at (0.1711, 0.5000, 0.3448), Te at (0.0092, 0.0000, 0.2532), Te at (0.1637, 0.5000, 0.0896) and Te at (0.1718, 0.5000, 0.5845).



Entry 2
The following is a PBE calculation of a geometry-optimized TiV2Te6 structure, from Alexandria.

It has space group C2/m (No. 12), with a = 12.8166 Å, b = 5.0193 Å, c = 9.3257 Å, α = 90.00°, β = 118.32° and γ = 90.00°. The asymmetric unit holds Ti at (0.0000, 0.0000, 0.0000), V at (0.1557, 0.0000, 0.5817), Te at (0.0251, 0.0000, 0.7271), Te at (0.1440, 0.5000, 0.1152) and Te at (0.1983, 0.5000, 0.5625).



Stability check: which of them is least stable? entry 2.



Entry 1
The following is a PBE calculation of a geometry-optimized TiV3Te structure, from Alexandria.

It has space group Pm-3m (No. 221), with a = 4.4901 Å, b = 4.4901 Å, c = 4.4901 Å, α = 90.00°, β = 90.00° and γ = 90.00°. The asymmetric unit holds Ti at (0.0000, 0.0000, 0.0000), V at (0.0000, 0.0000, 0.5000) and Te at (0.5000, 0.5000, 0.5000).



Entry 2
The following is a PBE calculation of a geometry-optimized TiV3Te structure, from Alexandria.

It has space group Pm-3m (No. 221), with a = 4.7765 Å, b = 4.7765 Å, c = 4.7765 Å, α = 90.00°, β = 90.00° and γ = 90.00°. The asymmetric unit holds Ti at (0.0000, 0.0000, 0.0000), V at (0.0000, 0.5000, 0.5000) and Te at (0.5000, 0.5000, 0.5000).



Stability check: which of them is least stable? entry 2.



Entry 1
The following is a PBE calculation of a geometry-optimized TiV2Te2 structure, from Alexandria.

It has space group I4/mmm (No. 139), with a = 5.0547 Å, b = 5.0547 Å, c = 7.9258 Å, α = 90.00°, β = 90.00° and γ = 90.00°. The asymmetric unit holds Ti at (0.0000, 0.0000, 0.0000), V at (0.0000, 0.0000, 0.3803) and Te at (0.0000, 0.5000, 0.2500).



Entry 2
The following is a PBE calculation of a geometry-optimized TiV2Te2 structure, from Alexandria.

It has space group P4/mbm (No. 127), with a = 7.2537 Å, b = 7.2537 Å, c = 3.5082 Å, α = 90.00°, β = 90.00° and γ = 90.00°. The asymmetric unit holds Ti at (0.0000, 0.0000, 0.0000), V at (0.1273, 0.3727, 0.0000) and Te at (0.1703, 0.6703, 0.5000).



Stability check: which of them is least stable? entry 1.



Entry 1
The following is a PBE calculation of a geometry-optimized TiTe2W structure, from Alexandria.

It has space group Fm-3m (No. 225), with a = 6.7607 Å, b = 6.7607 Å, c = 6.7607 Å, α = 90.00°, β = 90.00° and γ = 90.00°. The asymmetric unit holds Ti at (0.0000, 0.0000, 0.0000), Te at (0.2500, 0.2500, 0.2500) and W at (0.0000, 0.0000, 0.5000).



Entry 2
The following is a PBE calculation of a geometry-optimized TiTe2W structure, from Alexandria.

It has space group R-3m (No. 166, hexagonal axes), with a = 3.3546 Å, b = 3.3546 Å, c = 28.0858 Å, α = 90.00°, β = 90.00° and γ = 120.00°. The asymmetric unit holds Ti at (0.0000, 0.0000, 0.0000), Te at (0.0000, 0.0000, 0.0975) and W at (0.0000, 0.0000, 0.5000).



Stability check: which of them is least stable? entry 2.



Entry 1
The following is a PBE calculation of a geometry-optimized Y2TiTe4 structure, from Alexandria.

It has space group I4/mmm (No. 139), with a = 5.3273 Å, b = 5.3273 Å, c = 15.4084 Å, α = 90.00°, β = 90.00° and γ = 90.00°. The asymmetric unit holds Y at (0.0000, 0.0000, 0.1231), Ti at (0.0000, 0.0000, 0.5000), Te at (0.0000, 0.0000, 0.3159) and Te at (0.0000, 0.5000, 0.0000).



Entry 2
The following is a PBE calculation of a geometry-optimized Y2TiTe4 structure, from Alexandria.

It has space group C2/m (No. 12), with a = 15.4556 Å, b = 4.2256 Å, c = 7.5340 Å, α = 90.00°, β = 118.87° and γ = 90.00°. The asymmetric unit holds Y at (0.2432, 0.0000, 0.2282), Ti at (0.0000, 0.5000, 0.5000), Te at (0.1093, 0.5000, 0.9322) and Te at (0.1187, 0.0000, 0.4573).



Stability check: which of them is least stable? entry 1.



Entry 1
The following is a PBE calculation of a geometry-optimized Ti2ZnTe structure, from Alexandria.

It has space group I-42d (No. 122), with a = 5.6413 Å, b = 5.6413 Å, c = 13.2550 Å, α = 90.00°, β = 90.00° and γ = 90.00°. The asymmetric unit holds Ti at (0.2040, 0.2500, 0.1250), Zn at (0.0000, 0.0000, 0.0000) and Te at (0.0000, 0.0000, 0.5000).



Entry 2
The following is a PBE calculation of a geometry-optimized Ti2ZnTe structure, from Alexandria.

It has space group Fm-3m (No. 225), with a = 6.5966 Å, b = 6.5966 Å, c = 6.5966 Å, α = 90.00°, β = 90.00° and γ = 90.00°. The asymmetric unit holds Ti at (0.2500, 0.2500, 0.2500), Zn at (0.0000, 0.0000, 0.0000) and Te at (0.0000, 0.0000, 0.5000).



Stability check: which of them is least stable? entry 1.



Entry 1
The following is a PBE calculation of a geometry-optimized Ti2Zn2Te structure, from Alexandria.

It has space group P4/mbm (No. 127), with a = 6.9281 Å, b = 6.9281 Å, c = 3.7229 Å, α = 90.00°, β = 90.00° and γ = 90.00°. The asymmetric unit holds Ti at (0.1724, 0.3276, 0.0000), Zn at (0.1227, 0.6227, 0.5000) and Te at (0.0000, 0.0000, 0.5000).



Entry 2
The following is a PBE calculation of a geometry-optimized Ti2Zn2Te structure, from Alexandria.

It has space group I4/mmm (No. 139), with a = 3.9260 Å, b = 3.9260 Å, c = 12.7423 Å, α = 90.00°, β = 90.00° and γ = 90.00°. The asymmetric unit holds Ti at (0.0000, 0.5000, 0.2500), Zn at (0.0000, 0.0000, 0.0994) and Te at (0.0000, 0.0000, 0.5000).



Stability check: which of them is least stable? entry 2.



Entry 1
The following is a PBE calculation of a geometry-optimized TiZnTe3 structure, from Alexandria.

It has space group Pm-3m (No. 221), with a = 5.2205 Å, b = 5.2205 Å, c = 5.2205 Å, α = 90.00°, β = 90.00° and γ = 90.00°. The asymmetric unit holds Ti at (0.0000, 0.0000, 0.0000), Zn at (0.5000, 0.5000, 0.5000) and Te at (0.0000, 0.5000, 0.5000).



Entry 2
The following is a PBE calculation of a geometry-optimized TiZnTe3 structure, from Alexandria.

It has space group Pm-3m (No. 221), with a = 5.3538 Å, b = 5.3538 Å, c = 5.3538 Å, α = 90.00°, β = 90.00° and γ = 90.00°. The asymmetric unit holds Ti at (0.0000, 0.0000, 0.0000), Zn at (0.5000, 0.5000, 0.5000) and Te at (0.0000, 0.0000, 0.5000).



Stability check: which of them is least stable? entry 1.



Entry 1
The following is a PBE calculation of a geometry-optimized ZrTiTe structure, from Alexandria.

It has space group P-6m2 (No. 187), with a = 4.7001 Å, b = 4.7001 Å, c = 3.3939 Å, α = 90.00°, β = 90.00° and γ = 120.00°. The asymmetric unit holds Zr at (0.0000, 0.0000, 0.0000), Ti at (0.6667, 0.3333, 0.5000) and Te at (0.3333, 0.6667, 0.5000).



Entry 2
The following is a PBE calculation of a geometry-optimized ZrTiTe structure, from Alexandria.

It has space group C2/m (No. 12), with a = 10.3486 Å, b = 3.7794 Å, c = 7.3808 Å, α = 90.00°, β = 109.67° and γ = 90.00°. The asymmetric unit holds Zr at (0.1102, 0.0000, 0.2487), Ti at (0.1240, 0.5000, 0.9505) and Te at (0.1587, 0.0000, 0.6824).



Entry 3
The following is a PBE calculation of a geometry-optimized ZrTiTe structure, from Alexandria.

It has space group C2/m (No. 12), with a = 17.0646 Å, b = 3.5911 Å, c = 9.0915 Å, α = 90.00°, β = 95.85° and γ = 90.00°. The asymmetric unit holds Zr at (0.0240, 0.0000, 0.3360), Zr at (0.1067, 0.5000, 0.8380), Ti at (0.2330, 0.0000, 0.3593), Ti at (0.2485, 0.0000, 0.8779), Te at (0.1243, 0.0000, 0.0976) and Te at (0.1422, 0.0000, 0.5958).



Stability check: which of them is least stable? entry 1.



Entry 1
The following is a PBE calculation of a geometry-optimized ZrTiTe2 structure, from Alexandria.

It has space group I-42d (No. 122), with a = 6.6192 Å, b = 6.6192 Å, c = 12.1001 Å, α = 90.00°, β = 90.00° and γ = 90.00°. The asymmetric unit holds Zr at (0.0000, 0.0000, 0.0000), Ti at (0.0000, 0.0000, 0.5000) and Te at (0.2357, 0.2500, 0.6250).



Entry 2
The following is a PBE calculation of a geometry-optimized ZrTiTe2 structure, from Alexandria.

It has space group R-3m (No. 166, hexagonal axes), with a = 3.5384 Å, b = 3.5384 Å, c = 28.5288 Å, α = 90.00°, β = 90.00° and γ = 120.00°. The asymmetric unit holds Zr at (0.0000, 0.0000, 0.0000), Ti at (0.0000, 0.0000, 0.5000) and Te at (0.0000, 0.0000, 0.1020).



Stability check: which of them is least stable? entry 1.



Entry 1
The following is a PBE calculation of a geometry-optimized ZrTiTe2 structure, from Alexandria.

It has space group Fm-3m (No. 225), with a = 7.0105 Å, b = 7.0105 Å, c = 7.0105 Å, α = 90.00°, β = 90.00° and γ = 90.00°. The asymmetric unit holds Zr at (0.0000, 0.0000, 0.0000), Ti at (0.0000, 0.0000, 0.5000) and Te at (0.2500, 0.2500, 0.2500).



Entry 2
The following is a PBE calculation of a geometry-optimized ZrTiTe2 structure, from Alexandria.

It has space group C2/m (No. 12), with a = 16.6362 Å, b = 3.6562 Å, c = 8.2740 Å, α = 90.00°, β = 119.13° and γ = 90.00°. The asymmetric unit holds Zr at (0.1098, 0.0000, 0.1036), Ti at (0.1787, 0.5000, 0.8972), Te at (0.0069, 0.5000, 0.2225) and Te at (0.2270, 0.0000, 0.7063).



Entry 3
The following is a PBE calculation of a geometry-optimized ZrTiTe2 structure, from Alexandria.

It has space group P4/mmm (No. 123), with a = 4.9526 Å, b = 4.9526 Å, c = 3.5104 Å, α = 90.00°, β = 90.00° and γ = 90.00°. The asymmetric unit holds Zr at (0.0000, 0.0000, 0.0000), Ti at (0.5000, 0.5000, 0.0000) and Te at (0.0000, 0.5000, 0.5000).



Stability check: which of them is least stable? entry 1.